[1]
Density functional theory data (GGA-PBE) for a relaxed structure of PrErFe4.

a = 5.2042 Å, b = 5.2042 Å, c = 5.2042 Å
α = 60.00°, β = 60.00°, γ = 60.00°
Site moments in Bohr magnetons follow the coordinates.
Fractional coordinates of all 6 atoms:
Pr  0.2500  0.2500  0.2500  -0.34
Fe  0.6255  0.6255  0.1234  2.22
Fe  0.6255  0.1234  0.6255  2.22
Fe  0.6255  0.6255  0.6255  2.22
Fe  0.1234  0.6255  0.6255  2.22
Er  0.0000  0.0000  0.0000  -0.58

For the total energy, the calculation gives -43.2 eV for the cell shown. The crystal system is cubic. The calculation puts the energy of formation from the pure elements at 0.00 eV per atom. The space group is No. 216.

***

[2]
Density functional theory data (GGA-PBE) for a relaxed structure of Ti3CdSe.

a = 4.6972 Å, b = 4.6972 Å, c = 4.6972 Å
α = 90.00°, β = 90.00°, γ = 90.00°
Fractional coordinates of all 5 atoms:
Ti  0.0000  0.5000  0.0000
Ti  0.0000  0.0000  0.5000
Ti  0.5000  0.0000  0.0000
Se  0.0000  0.0000  0.0000
Cd  0.5000  0.5000  0.5000

For the total energy, the calculation gives -28.1 eV for the cell shown. The formation energy from raw total energies comes out at 0.0 eV per formula unit. The crystal system is cubic. The calculation puts the relative energy among the computed polymorphs at 0.0000 eV per atom. The space group is No. 221.

***

[3]
Density functional theory data (GGA-PBE) for a relaxed structure of CuGe2Pd2.

a = 7.0869 Å, b = 7.0869 Å, c = 3.2078 Å
α = 90.00°, β = 90.00°, γ = 90.00°
Fractional coordinates of all 10 atoms:
Ge  0.1578  0.6578  0.5000
Ge  0.6578  0.8422  0.5000
Ge  0.8422  0.3422  0.5000
Ge  0.3422  0.1578  0.5000
Cu  0.0000  0.0000  0.0000
Cu  0.5000  0.5000  0.0000
Pd  0.3562  0.8562  0.0000
Pd  0.8562  0.6438  0.0000
Pd  0.6438  0.1438  0.0000
Pd  0.1438  0.3562  0.0000

For the total energy, the calculation gives -48.9 eV for the cell shown. The crystal system is tetragonal. The calculation puts the energy of formation from the pure elements at -0.14 eV per atom. The space group is No. 127.

***

[4]
Density functional theory data (GGA-PBE) for a relaxed structure of TbSi2SnIr5.

a = 4.0007 Å, b = 4.0007 Å, c = 10.8238 Å
α = 90.00°, β = 90.00°, γ = 90.00°
Fractional coordinates of all 9 atoms:
Tb  0.0000  0.0000  0.5000
Si  0.5000  0.5000  0.2848
Si  0.5000  0.5000  0.7152
Sn  0.0000  0.0000  0.0000
Ir  0.0000  0.5000  0.1701
Ir  0.5000  0.0000  0.1701
Ir  0.0000  0.5000  0.8299
Ir  0.5000  0.0000  0.8299
Ir  0.5000  0.5000  0.5000

For the total energy, the calculation gives -67.0 eV for the cell shown. The formation energy from raw total energies comes out at -3.2 eV per formula unit. The crystal system is tetragonal. The space group is No. 123.

***

[5]
Density functional theory data (GGA-PBE) for a relaxed structure of Ta2FeMo.

a = 3.2255 Å, b = 4.5874 Å, c = 4.3045 Å
α = 90.00°, β = 90.00°, γ = 90.00°
Site moments in Bohr magnetons follow the coordinates.
Fractional coordinates of all 4 atoms:
Fe  0.5000  0.0000  0.5000  1.68
Mo  0.0000  0.5000  0.5000  -0.10
Ta  0.0000  0.0000  0.0000  -0.22
Ta  0.5000  0.5000  0.0000  -0.01

For the total energy, the calculation gives -42.9 eV for the cell shown. The crystal system is orthorhombic. The calculation puts the energy of formation from the pure elements at 0.02 eV per atom. The calculation puts the relative energy among the computed polymorphs at 0.2006 eV per atom. The space group is No. 47.

***

[6]
Density functional theory data (GGA-PBE) for a relaxed structure of CsSrTmBr6.

a = 7.6954 Å, b = 7.6953 Å, c = 7.9142 Å
α = 90.00°, β = 90.00°, γ = 60.00°
Fractional coordinates of all 9 atoms:
Cs  0.0000  0.0000  0.0000
Sr  0.6666  0.6667  0.5000
Tm  0.3333  0.3333  0.5000
Br  0.0276  0.3596  0.2938
Br  0.3596  0.0276  0.7062
Br  0.6127  0.3596  0.7062
Br  0.0276  0.6128  0.7062
Br  0.3596  0.6128  0.2938
Br  0.6127  0.0277  0.2938

For the total energy, the calculation gives -34.8 eV for the cell shown. The formation energy from raw total energies comes out at -17.7 eV per formula unit. The crystal system is trigonal. The space group is No. 149.

***

[7]
Density functional theory data (GGA-PBE) for a relaxed structure of VSnAs2.

a = 3.2211 Å, b = 3.2211 Å, c = 7.2380 Å
α = 90.00°, β = 90.00°, γ = 90.00°
Fractional coordinates of all 4 atoms:
As  0.0000  0.0000  0.8141
As  0.0000  0.0000  0.1859
Sn  0.5000  0.5000  0.5000
V  0.5000  0.5000  0.0000

For the total energy, the calculation gives -22.8 eV for the cell shown. The crystal system is tetragonal. The calculation puts the energy of formation from the pure elements at -0.09 eV per atom. The space group is No. 123.

***

[8]
Density functional theory data (GGA-PBE) for a relaxed structure of ZnAsOs4.

a = 5.1929 Å, b = 5.1929 Å, c = 5.1929 Å
α = 60.00°, β = 60.00°, γ = 60.00°
Fractional coordinates of all 6 atoms:
Zn  0.7500  0.7500  0.7500
As  0.0000  0.0000  0.0000
Os  0.8754  0.3749  0.3749
Os  0.3749  0.3749  0.8754
Os  0.3749  0.8754  0.3749
Os  0.3749  0.3749  0.3749

For the total energy, the calculation gives -45.6 eV for the cell shown. The crystal system is cubic. The calculation puts the energy of formation from the pure elements at 0.87 eV per atom. The space group is No. 216.

***

no.,D(E_F) (states/eV per cell)
1,7.1
2,0.7
3,3.1
4,4.9
5,3.6
6,0.0
7,3.1
8,8.7